(1)
Entry from the Alexandria database: an optimized crystal structure of PaVCrGe (PBE).

For the density of states at the Fermi level, the calculation gives 2.549 states/eV/cell. The formation energy comes out at -0.219 eV per formula unit. The total energy comes out at -8.269 eV/atom. The symmetry is F-43m, No. 216. The value obtained for the spin magnetization is 0.00 μB/f.u.

Lattice parameters (Å, degrees): 4.467 4.467 4.467 60.00 60.00 60.00
Sites, in units of the cell vectors:
1 Pa 0.000 0.000 0.000
2 V 0.250 0.250 0.250
3 Cr 0.750 0.750 0.750
4 Ge 0.500 0.500 0.500

---

(2)
Entry from the Alexandria database: an optimized crystal structure of InCo2W (PBE).

For the density of states at the Fermi level, the calculation gives 4.562 states/eV/cell. The formation energy comes out at 1.458 eV per formula unit. The total energy comes out at -7.111 eV/atom. The symmetry is R-3m, No. 166. The value obtained for the spin magnetization is 1.13 μB/f.u.

Lattice parameters (Å, degrees): 8.461 8.461 8.461 19.52 19.52 19.52
Sites, in units of the cell vectors:
1 In 0.000 0.000 0.000
2 Co 0.245 0.245 0.245
3 Co 0.755 0.755 0.755
4 W 0.500 0.500 0.500

---

(3)
Entry from the Alexandria database: an optimized crystal structure of LaY3Se4 (PBE).

For the density of states at the Fermi level, the calculation gives 11.507 states/eV/cell. As for the energy above the most stable polymorph in this dataset: 0.0000 eV/atom. The total energy comes out at -6.596 eV/atom. The symmetry is P6_3/mmc, No. 194. The value obtained for the spin magnetization is 0.00 μB/f.u.

Lattice parameters (Å, degrees): 4.109 4.109 27.577 90.00 90.00 120.00
Sites, in units of the cell vectors:
1 La 0.333 0.667 0.250
2 La 0.667 0.333 0.750
3 Y 0.000 0.000 0.000
4 Y 0.000 0.000 0.500
5 Y 0.333 0.667 0.621
6 Y 0.333 0.667 0.879
7 Y 0.667 0.333 0.121
8 Y 0.667 0.333 0.379
9 Se 0.000 0.000 0.180
10 Se 0.000 0.000 0.320
11 Se 0.000 0.000 0.680
12 Se 0.000 0.000 0.820
13 Se 0.333 0.667 0.060
14 Se 0.333 0.667 0.440
15 Se 0.667 0.333 0.560
16 Se 0.667 0.333 0.940

---

(4)
Entry from the Alexandria database: an optimized crystal structure of CeUPaAl (PBE).

For the density of states at the Fermi level, the calculation gives 10.194 states/eV/cell. The formation energy comes out at 0.543 eV per formula unit. The total energy comes out at -7.479 eV/atom. The symmetry is F-43m, No. 216. The value obtained for the spin magnetization is 4.87 μB/f.u.

Lattice parameters (Å, degrees): 5.072 5.072 5.072 60.00 60.00 60.00
Sites, in units of the cell vectors:
1 Ce 0.000 0.000 0.000
2 U 0.750 0.750 0.750
3 Pa 0.500 0.500 0.500
4 Al 0.250 0.250 0.250

---

(5)
Entry from the Alexandria database: an optimized crystal structure of LaTbInIr (PBE).

For the density of states at the Fermi level, the calculation gives 3.845 states/eV/cell. The formation energy comes out at -1.806 eV per formula unit. The total energy comes out at -5.741 eV/atom. The symmetry is F-43m, No. 216. The value obtained for the spin magnetization is 0.00 μB/f.u.

Lattice parameters (Å, degrees): 5.217 5.217 5.217 60.00 60.00 60.00
Sites, in units of the cell vectors:
1 La 0.000 0.000 0.000
2 Tb 0.500 0.500 0.500
3 In 0.750 0.750 0.750
4 Ir 0.250 0.250 0.250

---

(6)
Entry from the Alexandria database: an optimized crystal structure of LaBiMoN2 (PBE).

For the density of states at the Fermi level, the calculation gives 2.979 states/eV/cell. The total energy comes out at -5.881 eV/atom. The symmetry is P4/mmm, No. 123. The value obtained for the spin magnetization is 3.40 μB/f.u.

Lattice parameters (Å, degrees): 4.187 4.187 7.723 90.00 90.00 90.00
Sites, in units of the cell vectors:
1 La 0.000 0.000 0.000
2 Bi 0.500 0.500 0.500
3 Mo 0.000 0.000 0.500
4 N 0.000 0.500 0.000
5 N 0.500 0.000 0.000

---

(7)
Entry from the Alexandria database: an optimized crystal structure of VFeAs (PBE).

For the density of states at the Fermi level, the calculation gives 12.645 states/eV/cell. The formation energy comes out at -0.985 eV per formula unit. The total energy comes out at -7.739 eV/atom. The symmetry is P-62m, No. 189. The value obtained for the spin magnetization is 1.05 μB/f.u.

Lattice parameters (Å, degrees): 6.019 6.019 3.698 90.00 90.00 120.00
Sites, in units of the cell vectors:
1 V 0.000 0.580 0.000
2 V 0.420 0.420 0.000
3 V 0.580 0.000 0.000
4 Fe 0.000 0.247 0.500
5 Fe 0.247 0.000 0.500
6 Fe 0.753 0.753 0.500
7 As 0.000 0.000 0.000
8 As 0.333 0.667 0.500
9 As 0.667 0.333 0.500

---

(8)
Entry from the Alexandria database: an optimized crystal structure of EuHg (PBE).

For the density of states at the Fermi level, the calculation gives 13.628 states/eV/cell. The formation energy comes out at -1.044 eV per formula unit. The total energy comes out at -5.810 eV/atom. The symmetry is P2_1/m, No. 11. The value obtained for the spin magnetization is 7.28 μB/f.u.

Lattice parameters (Å, degrees): 4.083 5.107 6.312 90.00 108.95 90.00
Sites, in units of the cell vectors:
1 Eu 0.140 0.250 0.280
2 Eu 0.860 0.750 0.720
3 Hg 0.415 0.250 0.832
4 Hg 0.585 0.750 0.168

---

(9)
Entry from the Alexandria database: an optimized crystal structure of DyFeOs (PBE).

For the density of states at the Fermi level, the calculation gives 5.108 states/eV/cell. The formation energy comes out at 0.506 eV per formula unit. As for the energy above the most stable polymorph in this dataset: 0.4065 eV/atom. The total energy comes out at -7.930 eV/atom. The symmetry is Cmcm, No. 63. The value obtained for the spin magnetization is 3.23 μB/f.u.

Lattice parameters (Å, degrees): 7.570 7.570 4.469 90.00 90.00 154.84
Sites, in units of the cell vectors:
1 Dy 0.079 0.921 0.750
2 Dy 0.921 0.079 0.250
3 Fe 0.251 0.749 0.250
4 Fe 0.749 0.251 0.750
5 Os 0.372 0.628 0.750
6 Os 0.628 0.372 0.250

---

(10)
Entry from the Alexandria database: an optimized crystal structure of Hf2AlTl (PBE).

For the density of states at the Fermi level, the calculation gives 7.326 states/eV/cell. The formation energy comes out at 0.418 eV per formula unit. As for the energy above the most stable polymorph in this dataset: 0.1746 eV/atom. The total energy comes out at -6.400 eV/atom. The symmetry is Fm-3m, No. 225. The value obtained for the spin magnetization is 0.00 μB/f.u.

Lattice parameters (Å, degrees): 4.907 4.907 4.907 60.00 60.00 60.00
Sites, in units of the cell vectors:
1 Hf 0.250 0.250 0.250
2 Hf 0.750 0.750 0.750
3 Al 0.000 0.000 0.000
4 Tl 0.500 0.500 0.500

---

(11)
Entry from the Alexandria database: an optimized crystal structure of Co2AgPt (PBE).

For the density of states at the Fermi level, the calculation gives 5.871 states/eV/cell. The formation energy comes out at 0.814 eV per formula unit. The total energy comes out at -5.572 eV/atom. The symmetry is Cmmm, No. 65. The value obtained for the spin magnetization is 3.82 μB/f.u.

Lattice parameters (Å, degrees): 4.656 4.656 2.703 90.00 90.00 108.41
Sites, in units of the cell vectors:
1 Co 0.000 0.500 0.000
2 Co 0.500 0.000 0.000
3 Ag 0.000 0.000 0.500
4 Pt 0.500 0.500 0.500

---

(12)
Entry from the Alexandria database: an optimized crystal structure of MgScCu2 (PBE).

For the density of states at the Fermi level, the calculation gives 2.008 states/eV/cell. The formation energy comes out at -0.220 eV per formula unit. The total energy comes out at -4.085 eV/atom. The symmetry is I-4m2, No. 119. The value obtained for the spin magnetization is 0.00 μB/f.u.

Lattice parameters (Å, degrees): 4.876 4.876 4.876 130.52 130.52 72.58
Sites, in units of the cell vectors:
1 Mg 0.000 0.000 0.000
2 Sc 0.250 0.750 0.500
3 Cu 0.500 0.500 0.000
4 Cu 0.750 0.250 0.500